# 1
Ce2PmDy3Ho6 | the Alexandria database | PBE | relaxed; spin magnetization = 1.8 Bohr magnetons per cell; space group = C2/m; density of states at the Fermi level = 21.53 states/eV per cell; formation energy = 0.048 eV per atom; V = 31.22 Å³/atom
1.0
3.0634 -5.3058 0.0000
3.0634 5.3058 0.0000
-2.0424 0.0000 11.5262
Ce Pm Dy Ho
2 1 3 6
Direct
0.1667 0.8333 0.0000
0.8333 0.1667 0.0000
0.5000 0.5000 0.0000
0.0000 0.0000 0.5000
0.3338 0.6662 0.5000
0.6662 0.3338 0.5000
0.0803 0.4162 0.7499
0.2479 0.2479 0.2500
0.4162 0.0803 0.7499
0.5838 0.9197 0.2501
0.7521 0.7521 0.7500
0.9197 0.5838 0.2501



# 2
AcMgSi2Ir | the Alexandria database | PBE | relaxed; spin magnetization = 0.0 Bohr magnetons per cell; space group = I-4m2; E = -57.140 eV/cell; density of states at the Fermi level = 5.51 states/eV per cell; V = 19.84 Å³/atom
1.0
4.2659 0.0000 0.0000
0.0000 4.2659 0.0000
0.0000 0.0000 10.9035
Ac Mg Si Ir
2 2 4 2
Direct
0.0000 0.0000 0.0000
0.5000 0.5000 0.5000
0.0000 0.5000 0.7500
0.5000 0.0000 0.2500
0.0000 0.0000 0.3833
0.0000 0.0000 0.6167
0.5000 0.5000 0.1167
0.5000 0.5000 0.8833
0.0000 0.5000 0.2500
0.5000 0.0000 0.7500



# 3
AcTl2RhO6 | the Alexandria database | PBE | relaxed; spin magnetization = 0.0 Bohr magnetons per cell; space group = P2_1/c; E = -117.911 eV/cell; density of states at the Fermi level = 11.90 states/eV per cell; V = 14.88 Å³/atom
1.0
5.8523 0.0000 0.0000
0.0000 6.0222 0.0000
-5.8393 0.0000 8.4462
Ac Tl Rh O
2 4 2 12
Direct
0.0000 0.0000 0.0000
0.0000 0.5000 0.5000
0.2255 0.0288 0.7303
0.2255 0.4712 0.2303
0.7745 0.5288 0.7697
0.7745 0.9712 0.2697
0.5000 0.0000 0.5000
0.5000 0.5000 0.0000
0.1710 0.1615 0.4614
0.1710 0.3385 0.9614
0.2448 0.7297 0.4059
0.2448 0.7703 0.9059
0.4074 0.1009 0.2860
0.4074 0.3991 0.7860
0.5926 0.6009 0.2140
0.5926 0.8991 0.7140
0.7552 0.2297 0.0941
0.7552 0.2703 0.5941
0.8290 0.6615 0.0386
0.8290 0.8385 0.5386



# 4
Tb3Pm2SmEr6 | the Alexandria database | PBE | relaxed; spin magnetization = 0.0 Bohr magnetons per cell; space group = C2/m; density of states at the Fermi level = 14.97 states/eV per cell; formation energy = 0.017 eV per atom; V = 31.62 Å³/atom
1.0
3.0815 -5.3340 0.0000
3.0815 5.3340 0.0000
-2.0450 0.0000 11.5427
Tb Pm Sm Er
3 2 1 6
Direct
0.0000 0.0000 0.0000
0.3333 0.6667 0.0000
0.6667 0.3333 0.0000
0.1666 0.8334 0.5000
0.8334 0.1666 0.5000
0.5000 0.5000 0.5000
0.0821 0.4154 0.2480
0.2514 0.2514 0.7520
0.4154 0.0821 0.2480
0.5846 0.9179 0.7520
0.7486 0.7486 0.2480
0.9179 0.5846 0.7520



# 5
PmPrScSn | the Alexandria database | PBE | relaxed; spin magnetization = 0.0 Bohr magnetons per cell; space group = F-43m; density of states at the Fermi level = 27.40 states/eV per cell; formation energy = -0.220 eV per atom; V = 27.80 Å³/atom
1.0
7.6331 0.0000 0.0000
0.0000 7.6331 0.0000
0.0000 0.0000 7.6331
Pm Pr Sc Sn
4 4 4 4
Direct
0.0000 0.0000 0.0000
0.0000 0.5000 0.5000
0.5000 0.0000 0.5000
0.5000 0.5000 0.0000
0.2500 0.2500 0.7500
0.2500 0.7500 0.2500
0.7500 0.2500 0.2500
0.7500 0.7500 0.7500
0.2500 0.2500 0.2500
0.2500 0.7500 0.7500
0.7500 0.2500 0.7500
0.7500 0.7500 0.2500
0.0000 0.0000 0.5000
0.0000 0.5000 0.0000
0.5000 0.0000 0.0000
0.5000 0.5000 0.5000



# 6
SrHoCu2O5 | the Alexandria database | PBE | relaxed; spin magnetization = 1.0 Bohr magnetons per cell; space group = P4/mmm; E = -56.177 eV/cell; density of states at the Fermi level = 4.13 states/eV per cell; V = 12.23 Å³/atom
1.0
3.8287 0.0000 0.0000
0.0000 3.8287 0.0000
0.0000 0.0000 7.5118
Sr Ho Cu O
1 1 2 5
Direct
0.0000 0.0000 0.0000
0.0000 0.0000 0.5000
0.5000 0.5000 0.2668
0.5000 0.5000 0.7332
0.0000 0.5000 0.3117
0.0000 0.5000 0.6883
0.5000 0.0000 0.3117
0.5000 0.0000 0.6883
0.5000 0.5000 0.0000



# 7
RbTlI2O | the Alexandria database | PBE | relaxed; spin magnetization = 0.0 Bohr magnetons per cell; space group = P4/mmm; E = -14.805 eV/cell; density of states at the Fermi level = 5.78 states/eV per cell; V = 34.57 Å³/atom
1.0
6.4223 0.0000 0.0000
0.0000 6.4223 0.0000
0.0000 0.0000 4.1912
Rb Tl I O
1 1 2 1
Direct
0.0000 0.0000 0.0000
0.5000 0.5000 0.5000
0.0000 0.5000 0.5000
0.5000 0.0000 0.5000
0.5000 0.5000 0.0000



# 8
LaAsH2 | the Alexandria database | PBE | relaxed; spin magnetization = 0.0 Bohr magnetons per cell; space group = I-42d; E = -69.788 eV/cell; density of states at the Fermi level = 0.64 states/eV per cell; V = 16.18 Å³/atom
1.0
4.3182 0.0000 0.0000
0.0000 4.3182 0.0000
0.0000 0.0000 13.8874
La As H
4 4 8
Direct
0.0000 0.0000 0.0000
0.0000 0.5000 0.2500
0.5000 0.0000 0.7500
0.5000 0.5000 0.5000
0.0000 0.0000 0.5000
0.0000 0.5000 0.7500
0.5000 0.0000 0.2500
0.5000 0.5000 0.0000
0.2185 0.2500 0.6250
0.2500 0.7185 0.8750
0.2500 0.7815 0.3750
0.2815 0.2500 0.1250
0.7185 0.7500 0.1250
0.7500 0.2185 0.3750
0.7500 0.2815 0.8750
0.7815 0.7500 0.6250



# 9
LiMo3W | the Alexandria database | PBE | relaxed; spin magnetization = 0.0 Bohr magnetons per cell; space group = Pm-3m; density of states at the Fermi level = 5.93 states/eV per cell; formation energy = 1.301 eV per atom; V = 15.09 Å³/atom
1.0
4.2252 0.0000 0.0000
0.0000 4.2252 0.0000
0.0000 0.0000 4.2252
Li Mo W
1 3 1
Direct
0.0000 0.0000 0.0000
0.0000 0.0000 0.5000
0.0000 0.5000 0.0000
0.5000 0.0000 0.0000
0.5000 0.5000 0.5000



# 10
Ac2TbIn | the Alexandria database | PBE | relaxed; spin magnetization = 0.0 Bohr magnetons per cell; space group = Fm-3m; density of states at the Fermi level = 25.32 states/eV per cell; formation energy = -0.089 eV per atom; V = 35.75 Å³/atom
1.0
8.3014 0.0000 0.0000
0.0000 8.3014 0.0000
0.0000 0.0000 8.3014
Ac Tb In
8 4 4
Direct
0.2500 0.2500 0.2500
0.2500 0.2500 0.7500
0.2500 0.7500 0.2500
0.2500 0.7500 0.7500
0.7500 0.2500 0.2500
0.7500 0.2500 0.7500
0.7500 0.7500 0.2500
0.7500 0.7500 0.7500
0.0000 0.0000 0.0000
0.0000 0.5000 0.5000
0.5000 0.0000 0.5000
0.5000 0.5000 0.0000
0.0000 0.0000 0.5000
0.0000 0.5000 0.0000
0.5000 0.0000 0.0000
0.5000 0.5000 0.5000



# 11
Ca3La3TmTe8 | the Alexandria database | PBE | relaxed; spin magnetization = 0.0 Bohr magnetons per cell; space group = R-3m; E = -73.868 eV/cell; density of states at the Fermi level = 5.43 states/eV per cell; V = 34.97 Å³/atom
1.0
4.5178 2.6084 7.4187
-4.5178 2.6084 7.4187
0.0000 -5.2168 7.4187
Ca La Tm Te
3 3 1 8
Direct
0.0000 0.5000 0.5000
0.5000 0.0000 0.5000
0.5000 0.5000 0.0000
0.0000 0.0000 0.5000
0.0000 0.5000 0.0000
0.5000 0.0000 0.0000
0.5000 0.5000 0.5000
0.2531 0.2531 0.2531
0.2574 0.2574 0.7384
0.2574 0.7384 0.2574
0.2616 0.7426 0.7426
0.7384 0.2574 0.2574
0.7426 0.2616 0.7426
0.7426 0.7426 0.2616
0.7469 0.7469 0.7469



# 12
Cs3Pa2O7 | the Alexandria database | PBE | relaxed; spin magnetization = 0.0 Bohr magnetons per cell; space group = Cmmm; E = -88.674 eV/cell; density of states at the Fermi level = 7.37 states/eV per cell; V = 21.60 Å³/atom
1.0
2.2353 -13.0018 0.0000
2.2353 13.0018 0.0000
0.0000 0.0000 4.4599
Cs Pa O
3 2 7
Direct
0.0000 0.0000 0.0000
0.1779 0.8221 0.0000
0.8221 0.1779 0.0000
0.4142 0.5858 0.5000
0.5858 0.4142 0.5000
0.0865 0.9135 0.5000
0.3372 0.6628 0.5000
0.4135 0.5865 0.0000
0.5000 0.5000 0.5000
0.5865 0.4135 0.0000
0.6628 0.3372 0.5000
0.9135 0.0865 0.5000